# 1
# SrLi2Re | the Alexandria database | PBE | relaxed
# Electronic total energy in eV/cell: -14.7
# Polymorph energy (0 for the lowest one) in meV/atom: 149.9
# ΔH_f (0 K) in eV/atom: 0.809
# SG: No. 123
# DOS(E_F) in states/eV/atom: 0.89
data_SrLi2Re
_chemical_formula_sum 'Sr1 Li2 Re1'
_cell_length_a 2.823
_cell_length_b 2.823
_cell_length_c 9.870
_cell_angle_alpha 90.00
_cell_angle_beta 90.00
_cell_angle_gamma 89.99
_symmetry_space_group_name_H-M 'P 1'
_symmetry_Int_Tables_number 1
_symmetry_space_group_name_Hall 'P 1'
loop_
_atom_site_label
_atom_site_type_symbol
_atom_site_fract_x
_atom_site_fract_y
_atom_site_fract_z
Li1 Li 0.000 0.000 0.050
Li2 Li 0.000 0.000 0.450
Re1 Re 0.500 0.500 0.250
Sr1 Sr 0.500 0.500 0.750

# 2
# SrLiRe4 | the Alexandria database | PBE | relaxed
# Electronic total energy in eV/cell: -49.9
# ΔH_f (0 K) in eV/atom: 0.582
# SG: No. 216
# DOS(E_F) in states/eV/atom: 1.03
data_SrLiRe4
_chemical_formula_sum 'Sr1 Li1 Re4'
_cell_length_a 5.387
_cell_length_b 5.387
_cell_length_c 5.387
_cell_angle_alpha 60.00
_cell_angle_beta 60.00
_cell_angle_gamma 60.00
_symmetry_space_group_name_H-M 'P 1'
_symmetry_Int_Tables_number 1
_symmetry_space_group_name_Hall 'P 1'
loop_
_atom_site_label
_atom_site_type_symbol
_atom_site_fract_x
_atom_site_fract_y
_atom_site_fract_z
Sr1 Sr 0.750 0.750 0.750
Li1 Li 0.000 0.000 0.000
Re1 Re 0.877 0.374 0.374
Re2 Re 0.374 0.374 0.877
Re3 Re 0.374 0.877 0.374
Re4 Re 0.374 0.374 0.374

# 3
# SrLiTa2Re | the Alexandria database | PBE | relaxed
# Electronic total energy in eV/cell: -34.2
# ΔH_f (0 K) in eV/atom: 1.115
# SG: No. 123
# DOS(E_F) in states/eV/atom: 1.12
data_SrLiTa2Re
_chemical_formula_sum 'Sr1 Li1 Ta2 Re1'
_cell_length_a 4.901
_cell_length_b 5.963
_cell_length_c 4.901
_cell_angle_alpha 90.00
_cell_angle_beta 90.00
_cell_angle_gamma 90.00
_symmetry_space_group_name_H-M 'P 1'
_symmetry_Int_Tables_number 1
_symmetry_space_group_name_Hall 'P 1'
loop_
_atom_site_label
_atom_site_type_symbol
_atom_site_fract_x
_atom_site_fract_y
_atom_site_fract_z
Re1 Re 0.000 0.000 0.000
Li1 Li 0.500 0.500 0.500
Sr1 Sr 0.000 0.500 0.000
Ta1 Ta 0.000 0.000 0.500
Ta2 Ta 0.500 0.000 0.000

# 4
# SrLiRe2Te | the Alexandria database | PBE | relaxed
# Electronic total energy in eV/cell: -19.5
# SG: No. 123
# DOS(E_F) in states/eV/atom: 0.30
# E_form (uncorrected) in eV/atom: 2.434
data_SrLiRe2Te
_chemical_formula_sum 'Sr1 Li1 Re2 Te1'
_cell_length_a 5.848
_cell_length_b 6.153
_cell_length_c 5.848
_cell_angle_alpha 90.00
_cell_angle_beta 90.00
_cell_angle_gamma 90.00
_symmetry_space_group_name_H-M 'P 1'
_symmetry_Int_Tables_number 1
_symmetry_space_group_name_Hall 'P 1'
loop_
_atom_site_label
_atom_site_type_symbol
_atom_site_fract_x
_atom_site_fract_y
_atom_site_fract_z
Re1 Re 0.000 0.000 0.500
Re2 Re 0.500 0.000 0.000
Te1 Te 0.000 0.500 0.000
Li1 Li 0.500 0.500 0.500
Sr1 Sr 0.000 0.000 0.000

# 5
# Li2TaRe | the Alexandria database | PBE | relaxed
# Electronic total energy in eV/cell: -27.0
# Polymorph energy (0 for the lowest one) in meV/atom: 108.0
# ΔH_f (0 K) in eV/atom: 0.272
# SG: No. 6
# DOS(E_F) in states/eV/atom: 0.67
data_Li2TaRe
_chemical_formula_sum 'Li2 Ta1 Re1'
_cell_length_a 4.302
_cell_length_b 2.638
_cell_length_c 5.659
_cell_angle_alpha 81.65
_cell_angle_beta 90.00
_cell_angle_gamma 90.00
_symmetry_space_group_name_H-M 'P 1'
_symmetry_Int_Tables_number 1
_symmetry_space_group_name_Hall 'P 1'
loop_
_atom_site_label
_atom_site_type_symbol
_atom_site_fract_x
_atom_site_fract_y
_atom_site_fract_z
Li1 Li 0.000 0.089 0.018
Li2 Li 0.500 0.179 0.247
Re1 Re 0.000 0.480 0.509
Ta1 Ta 0.500 0.752 0.727

# 6
# Li2TaRe | the Alexandria database | PBE | relaxed
# Electronic total energy in eV/cell: -27.1
# Polymorph energy (0 for the lowest one) in meV/atom: 101.1
# ΔH_f (0 K) in eV/atom: 0.265
# SG: No. 12
# DOS(E_F) in states/eV/atom: 0.56
data_Li2TaRe
_chemical_formula_sum 'Li2 Ta1 Re1'
_cell_length_a 5.605
_cell_length_b 5.605
_cell_length_c 4.395
_cell_angle_alpha 68.13
_cell_angle_beta 68.13
_cell_angle_gamma 30.17
_symmetry_space_group_name_H-M 'P 1'
_symmetry_Int_Tables_number 1
_symmetry_space_group_name_Hall 'P 1'
loop_
_atom_site_label
_atom_site_type_symbol
_atom_site_fract_x
_atom_site_fract_y
_atom_site_fract_z
Li1 Li 0.012 0.012 0.987
Li2 Li 0.488 0.488 0.513
Re1 Re 0.750 0.750 0.750
Ta1 Ta 0.250 0.250 0.250

# 7
# LiTaRe | the Alexandria database | PBE | relaxed
# Electronic total energy in eV/cell: -23.6
# Polymorph energy (0 for the lowest one) in meV/atom: 763.3
# ΔH_f (0 K) in eV/atom: 0.874
# SG: No. 216
# DOS(E_F) in states/eV/atom: 1.19
data_LiTaRe
_chemical_formula_sum 'Li1 Ta1 Re1'
_cell_length_a 4.283
_cell_length_b 4.283
_cell_length_c 4.283
_cell_angle_alpha 60.00
_cell_angle_beta 60.00
_cell_angle_gamma 60.00
_symmetry_space_group_name_H-M 'P 1'
_symmetry_Int_Tables_number 1
_symmetry_space_group_name_Hall 'P 1'
loop_
_atom_site_label
_atom_site_type_symbol
_atom_site_fract_x
_atom_site_fract_y
_atom_site_fract_z
Li1 Li 0.500 0.500 0.500
Re1 Re 0.250 0.250 0.250
Ta1 Ta 0.000 0.000 0.000

# 8
# Li2TaRe | the Alexandria database | PBE | relaxed
# Electronic total energy in eV/cell: -26.4
# Polymorph energy (0 for the lowest one) in meV/atom: 278.4
# ΔH_f (0 K) in eV/atom: 0.443
# SG: No. 65
# DOS(E_F) in states/eV/atom: 0.69
data_Li2TaRe
_chemical_formula_sum 'Li2 Ta1 Re1'
_cell_length_a 5.378
_cell_length_b 5.378
_cell_length_c 2.597
_cell_angle_alpha 90.00
_cell_angle_beta 90.00
_cell_angle_gamma 122.91
_symmetry_space_group_name_H-M 'P 1'
_symmetry_Int_Tables_number 1
_symmetry_space_group_name_Hall 'P 1'
loop_
_atom_site_label
_atom_site_type_symbol
_atom_site_fract_x
_atom_site_fract_y
_atom_site_fract_z
Li1 Li 0.000 0.000 0.000
Li2 Li 0.500 0.500 0.000
Re1 Re 0.500 0.000 0.500
Ta1 Ta 0.000 0.500 0.500

# 9
# Li2TaRe | the Alexandria database | PBE | relaxed
# Electronic total energy in eV/cell: -27.0
# Polymorph energy (0 for the lowest one) in meV/atom: 123.3
# ΔH_f (0 K) in eV/atom: 0.288
# SG: No. 47
# DOS(E_F) in states/eV/atom: 0.86
data_Li2TaRe
_chemical_formula_sum 'Li2 Ta1 Re1'
_cell_length_a 2.983
_cell_length_b 4.330
_cell_length_c 4.943
_cell_angle_alpha 90.00
_cell_angle_beta 90.00
_cell_angle_gamma 90.00
_symmetry_space_group_name_H-M 'P 1'
_symmetry_Int_Tables_number 1
_symmetry_space_group_name_Hall 'P 1'
loop_
_atom_site_label
_atom_site_type_symbol
_atom_site_fract_x
_atom_site_fract_y
_atom_site_fract_z
Li1 Li 0.000 0.000 0.000
Li2 Li 0.500 0.500 0.000
Re1 Re 0.500 0.000 0.500
Ta1 Ta 0.000 0.500 0.500

# 10
# LiTaRe | the Alexandria database | PBE | relaxed
# Electronic total energy in eV/cell: -23.1
# Polymorph energy (0 for the lowest one) in meV/atom: 920.2
# ΔH_f (0 K) in eV/atom: 1.031
# SG: No. 216
# DOS(E_F) in states/eV/atom: 1.13
data_LiTaRe
_chemical_formula_sum 'Li1 Ta1 Re1'
_cell_length_a 4.294
_cell_length_b 4.294
_cell_length_c 4.294
_cell_angle_alpha 60.00
_cell_angle_beta 60.00
_cell_angle_gamma 60.00
_symmetry_space_group_name_H-M 'P 1'
_symmetry_Int_Tables_number 1
_symmetry_space_group_name_Hall 'P 1'
loop_
_atom_site_label
_atom_site_type_symbol
_atom_site_fract_x
_atom_site_fract_y
_atom_site_fract_z
Li1 Li 0.000 0.000 0.000
Re1 Re 0.500 0.500 0.500
Ta1 Ta 0.250 0.250 0.250

# 11
# Li2TaRe | the Alexandria database | PBE | relaxed
# Electronic total energy in eV/cell: -26.7
# Polymorph energy (0 for the lowest one) in meV/atom: 198.5
# ΔH_f (0 K) in eV/atom: 0.363
# SG: No. 65
# DOS(E_F) in states/eV/atom: 0.72
data_Li2TaRe
_chemical_formula_sum 'Li2 Ta1 Re1'
_cell_length_a 2.622
_cell_length_b 2.622
_cell_length_c 9.887
_cell_angle_alpha 90.00
_cell_angle_beta 90.00
_cell_angle_gamma 110.28
_symmetry_space_group_name_H-M 'P 1'
_symmetry_Int_Tables_number 1
_symmetry_space_group_name_Hall 'P 1'
loop_
_atom_site_label
_atom_site_type_symbol
_atom_site_fract_x
_atom_site_fract_y
_atom_site_fract_z
Li1 Li 0.000 0.000 0.017
Li2 Li 0.000 0.000 0.483
Re1 Re 0.500 0.500 0.250
Ta1 Ta 0.500 0.500 0.750

# 12
# Li2TaRe | the Alexandria database | PBE | relaxed
# Electronic total energy in eV/cell: -27.1
# Polymorph energy (0 for the lowest one) in meV/atom: 90.9
# ΔH_f (0 K) in eV/atom: 0.255
# SG: No. 160
# DOS(E_F) in states/eV/atom: 0.72
data_Li2TaRe
_chemical_formula_sum 'Li2 Ta1 Re1'
_cell_length_a 10.089
_cell_length_b 10.089
_cell_length_c 10.089
_cell_angle_alpha 15.84
_cell_angle_beta 15.84
_cell_angle_gamma 15.84
_symmetry_space_group_name_H-M 'P 1'
_symmetry_Int_Tables_number 1
_symmetry_space_group_name_Hall 'P 1'
loop_
_atom_site_label
_atom_site_type_symbol
_atom_site_fract_x
_atom_site_fract_y
_atom_site_fract_z
Li1 Li 0.000 0.000 0.000
Li2 Li 0.245 0.245 0.245
Re1 Re 0.502 0.502 0.502
Ta1 Ta 0.753 0.753 0.753